CsScW2O8 | Alexandria | PBE+U | relaxed; VASP energy = -7.4637 eV per atom
1.0
5.947 0.000 0.000
-2.973 5.150 0.000
0.000 0.000 8.339
Cs Sc O W
1 1 8 2
Direct
0.000 0.000 0.500 Cs
0.000 0.000 0.000 Sc
0.165 0.330 0.851 O
0.165 0.835 0.851 O
0.670 0.835 0.851 O
0.330 0.165 0.149 O
0.667 0.333 0.430 O
0.333 0.667 0.570 O
0.835 0.670 0.149 O
0.835 0.165 0.149 O
0.333 0.667 0.783 W
0.667 0.333 0.217 W